Run i
ScCrSbI2: relaxed, GGA-PBE.

a b c (Å): 5.5952 5.5952 5.8215
angles (deg): 90.00 90.00 90.00
Site moments in Bohr magnetons follow the coordinates.
Sites, in units of the cell vectors:
I 0.0000 0.5000 0.0000  -0.02
I 0.5000 0.0000 0.0000  -0.02
Sb 0.0000 0.0000 0.5000  -0.24
Sc 0.0000 0.0000 0.0000  -0.02
Cr 0.5000 0.5000 0.5000  4.33

---

Run ii
ScCrSbI2: relaxed, GGA-PBE.

a b c (Å): 5.3451 5.3451 5.4727
angles (deg): 90.00 90.00 90.00
Site moments in Bohr magnetons follow the coordinates.
Sites, in units of the cell vectors:
I 0.0000 0.5000 0.0000  -0.04
I 0.5000 0.0000 0.0000  -0.04
Sb 0.0000 0.0000 0.5000  -0.20
Sc 0.5000 0.5000 0.5000  0.61
Cr 0.0000 0.0000 0.0000  3.38

---

Question: which arrangement is favored energetically? Ranking from most to least stable: run i, run ii.